This record from Alexandria describes a relaxed Na3Mn2P2C2O14 crystal. The functional is PBE with a Hubbard U.

Structure (CIF):
```
data_Na3Mn2P2C2O14
_chemical_formula_sum 'Na6 Mn4 P4 C4 O28'
_cell_length_a 8.2993
_cell_length_b 8.4378
_cell_length_c 10.3366
_cell_angle_alpha 107.78
_cell_angle_beta 106.59
_cell_angle_gamma 103.18
_symmetry_space_group_name_H-M 'P 1'
_symmetry_Int_Tables_number 1
loop_
_symmetry_equiv_pos_as_xyz
'x,y,z'
loop_
_atom_site_label
_atom_site_fract_x
_atom_site_fract_y
_atom_site_fract_z
_atom_site_occupancy
Na1 0.7693 0.7691 0.7674 1
Na2 0.2821 0.2239 0.7545 1
Na3 0.0031 0.5120 0.7723 1
Na4 0.9969 0.4880 0.2277 1
Na5 0.7179 0.7761 0.2455 1
Na6 0.2307 0.2309 0.2326 1
Mn1 0.7997 0.0597 0.6493 1
Mn2 0.3056 0.5554 0.6474 1
Mn3 0.6944 0.4446 0.3526 1
Mn4 0.2003 0.9403 0.3507 1
P1 0.0519 0.7963 0.5693 1
P2 0.5537 0.3144 0.5758 1
P3 0.4463 0.6856 0.4242 1
P4 0.9481 0.2037 0.4307 1
C1 0.9746 0.2157 0.9158 1
C2 0.4712 0.7251 0.9103 1
C3 0.5288 0.2749 0.0897 1
C4 0.0254 0.7843 0.0842 1
O1 0.9430 0.7049 0.9481 1
O2 0.4369 0.1942 0.9576 1
O3 0.3232 0.5836 0.8513 1
O4 0.8260 0.0777 0.8521 1
O5 0.0249 0.2616 0.8183 1
O6 0.5079 0.7648 0.8046 1
O7 0.1467 0.6948 0.6510 1
O8 0.9723 0.8963 0.6695 1
O9 0.6747 0.2513 0.6743 1
O10 0.4667 0.4183 0.6733 1
O11 0.5911 0.8334 0.5672 1
O12 0.6770 0.4526 0.5385 1
O13 0.1822 0.9285 0.5357 1
O14 0.0966 0.3396 0.5828 1
O15 0.9034 0.6604 0.4172 1
O16 0.3230 0.5474 0.4615 1
O17 0.8178 0.0715 0.4643 1
O18 0.4089 0.1666 0.4328 1
O19 0.3253 0.7487 0.3257 1
O20 0.5333 0.5817 0.3267 1
O21 0.8533 0.3052 0.3490 1
O22 0.0277 0.1037 0.3305 1
O23 0.4921 0.2352 0.1954 1
O24 0.9751 0.7384 0.1817 1
O25 0.6768 0.4164 0.1487 1
O26 0.1740 0.9223 0.1479 1
O27 0.0570 0.2951 0.0519 1
O28 0.5631 0.8058 0.0424 1
```

Calculated values
**Space-group type**: P-1, No. 2
**Crystal system**: triclinic
**Distance to the lowest polymorph of the same formula**: 1.4 meV/atom